1.
Rb2Ca2Pb (GGA-PBE, optimized geometry); formation energy = -3 kJ/mol of atoms; spin magnetization = 0.000 μB per atom; space group = P4/mbm, No. 127
1.0
-5.881 5.977 1.350
-5.665 -4.590 -4.356
-1.965 -3.294 6.025
Rb Ca Pb
4 4 2
direct
0.183 0.683 0.500 Rb
0.683 0.817 0.500 Rb
0.317 0.183 0.500 Rb
0.817 0.317 0.500 Rb
0.336 0.836 0.000 Ca
0.664 0.164 0.000 Ca
0.164 0.336 0.000 Ca
0.836 0.664 0.000 Ca
0.000 0.000 0.000 Pb
0.500 0.500 0.000 Pb

***

2.
RbCaPb (GGA-PBE, optimized geometry); formation energy = -18 kJ/mol of atoms; spin magnetization = 0.000 μB per atom; space group = I4mm, No. 107
1.0
-1.707 -0.003 -3.851
-2.583 -3.124 1.147
-2.901 6.555 3.584
Pb Rb Ca
1 1 1
direct
0.695 0.695 0.389 Pb
0.020 0.020 0.039 Rb
0.286 0.286 0.571 Ca

***

3.
Rb2CaPb2 (GGA-PBE, optimized geometry); formation energy = -2 kJ/mol of atoms; spin magnetization = 0.000 μB per atom; space group = I4/mmm, No. 139
1.0
5.023 0.000 0.000
0.000 5.023 0.000
2.512 2.512 8.358
Rb Pb Ca
2 2 1
direct
0.250 0.750 0.500 Rb
0.750 0.250 0.500 Rb
0.586 0.586 0.828 Pb
0.414 0.414 0.172 Pb
0.000 0.000 0.000 Ca

***

4.
RbCaPb3 (GGA-PBE, optimized geometry); formation energy = 18 kJ/mol of atoms; spin magnetization = 0.000 μB per atom; space group = Pm-3m, No. 221
1.0
6.029 0.000 0.000
0.000 6.029 0.000
0.000 0.000 6.029
Pb Rb Ca
3 1 1
direct
0.000 0.000 0.500 Pb
0.500 0.000 0.000 Pb
0.000 0.500 0.000 Pb
0.500 0.500 0.500 Rb
0.000 0.000 0.000 Ca

***

5.
RbCaPb3 (GGA-PBE, optimized geometry); formation energy = 75 kJ/mol of atoms; spin magnetization = 0.000 μB per atom; space group = Pm-3m, No. 221
1.0
6.092 0.000 0.000
0.000 6.092 0.000
0.000 0.000 6.092
Rb Ca Pb
1 1 3
direct
0.000 0.000 0.000 Rb
0.500 0.500 0.500 Ca
0.000 0.000 0.500 Pb
0.500 0.000 0.000 Pb
0.000 0.500 0.000 Pb

***

6.
Rb2Ca2Pb (GGA-PBE, optimized geometry); formation energy = 32 kJ/mol of atoms; spin magnetization = 0.000 μB per atom; space group = P4/mbm, No. 127
1.0
-2.735 3.924 -7.520
1.768 -7.464 -4.537
-5.737 -1.995 1.046
Ca Rb Pb
4 4 2
direct
0.689 0.811 0.500 Ca
0.311 0.189 0.500 Ca
0.189 0.689 0.500 Ca
0.811 0.311 0.500 Ca
0.869 0.631 0.000 Rb
0.131 0.369 0.000 Rb
0.631 0.131 0.000 Rb
0.369 0.869 0.000 Rb
0.000 0.000 0.000 Pb
0.500 0.500 0.000 Pb